1.
Density functional theory data (PBE-GGA) for a relaxed structure of ZnAg2Ru.

a = 4.839 Å, b = 2.757 Å, c = 5.006 Å
α = 90.00°, β = 107.97°, γ = 90.00°
Space group P2/m (No. 10)
Inequivalent atoms, fractional coordinates:
Zn  0.000  0.000  0.000 (multiplicity 1)
Ag  0.000  0.500  0.500 (multiplicity 1)
Ag  0.500  0.000  0.500 (multiplicity 1)
Ru  0.500  0.500  0.000 (multiplicity 1)

Properties
The calculation puts the formation energy at 0.245 eV per atom. As for the spin magnetization: 0.003 μB per cell. Its calculated volume is 64 Å³/cell. For the density of states at the Fermi level, the calculation gives 2.35 states/eV/cell.

2.
Density functional theory data (PBE-GGA) for a relaxed structure of CsKAuCl.

a = 4.7300 Å, b = 4.7300 Å, c = 25.5321 Å
α = 90.00°, β = 90.00°, γ = 120.00°
Space group R3m (No. 160, hexagonal axes)
Inequivalent atoms, fractional coordinates:
Cs  0.0000  0.0000  0.0000 (multiplicity 3)
K  0.0000  0.0000  0.8224 (multiplicity 3)
Au  0.0000  0.0000  0.5733 (multiplicity 3)
Cl  0.0000  0.0000  0.4191 (multiplicity 3)

Properties
As for the spin magnetization: 0.000 μB per cell. Its calculated volume is 495 Å³/cell. The value obtained for the formation energy without anion corrections is -419.4 kJ/mol of formula units. For the density of states at the Fermi level, the calculation gives 0.00 states/eV/cell.

3.
Density functional theory data (PBE-GGA) for a relaxed structure of CsNdCuI6.

a = 7.540 Å, b = 7.660 Å, c = 8.424 Å
α = 94.02°, β = 96.68°, γ = 111.56°
Space group P1 (No. 1)
Inequivalent atoms, fractional coordinates:
Cs  0.000  0.000  0.000 (multiplicity 1)
Nd  0.400  0.653  0.509 (multiplicity 1)
Cu  0.786  0.349  0.435 (multiplicity 1)
I  0.042  0.567  0.243 (multiplicity 1)
I  0.082  0.305  0.622 (multiplicity 1)
I  0.442  0.933  0.796 (multiplicity 1)
I  0.495  0.392  0.245 (multiplicity 1)
I  0.644  0.975  0.319 (multiplicity 1)
I  0.712  0.531  0.691 (multiplicity 1)

Properties
As for the spin magnetization: 0.922 μB per cell. Its calculated volume is 446 Å³/cell. The value obtained for the formation energy without anion corrections is -845.5 kJ/mol of formula units. For the density of states at the Fermi level, the calculation gives 2.63 states/eV/cell.

4.
Density functional theory data (PBE-GGA) for a relaxed structure of MnHgPtAu.

a = 6.540 Å, b = 6.540 Å, c = 6.540 Å
α = 90.00°, β = 90.00°, γ = 90.00°
Space group F-43m (No. 216)
Inequivalent atoms, fractional coordinates:
Mn  0.000  0.000  0.000 (multiplicity 4)
Hg  0.000  0.000  0.500 (multiplicity 4)
Pt  0.250  0.250  0.250 (multiplicity 4)
Au  0.250  0.250  0.750 (multiplicity 4)

Properties
The calculation puts the formation energy at -0.005 eV per atom. As for the spin magnetization: 16.595 μB per cell. Its calculated volume is 280 Å³/cell. For the density of states at the Fermi level, the calculation gives 8.57 states/eV/cell.

5.
Density functional theory data (PBE-GGA) for a relaxed structure of LaEuAlCu.

a = 7.481 Å, b = 7.481 Å, c = 7.481 Å
α = 90.00°, β = 90.00°, γ = 90.00°
Space group F-43m (No. 216)
Inequivalent atoms, fractional coordinates:
La  0.000  0.000  0.000 (multiplicity 4)
Eu  0.000  0.000  0.500 (multiplicity 4)
Al  0.250  0.250  0.250 (multiplicity 4)
Cu  0.250  0.250  0.750 (multiplicity 4)

Properties
The calculation puts the formation energy at -0.169 eV per atom. As for the spin magnetization: 28.017 μB per cell. Its calculated volume is 419 Å³/cell. For the density of states at the Fermi level, the calculation gives 32.84 states/eV/cell.

6.
Density functional theory data (PBE-GGA) for a relaxed structure of DyEr2Sb.

a = 4.101 Å, b = 12.152 Å, c = 9.430 Å
α = 90.00°, β = 90.00°, γ = 90.00°
Space group Cmcm (No. 63)
Inequivalent atoms, fractional coordinates:
Dy  0.000  0.058  0.250 (multiplicity 4)
Er  0.000  0.364  0.047 (multiplicity 8)
Sb  0.000  0.241  0.750 (multiplicity 4)

Properties
As for the spin magnetization: 0.014 μB per cell. Its calculated volume is 470 Å³/cell. The value obtained for the formation energy without anion corrections is -209.8 kJ/mol of formula units. For the density of states at the Fermi level, the calculation gives 23.50 states/eV/cell.

7.
Density functional theory data (PBE-GGA) for a relaxed structure of Pm2Nd3Sm.

a = 8.568 Å, b = 3.744 Å, c = 13.105 Å
α = 90.00°, β = 90.03°, γ = 90.00°
Space group P2_1/m (No. 11)
Inequivalent atoms, fractional coordinates:
Pm  0.088  0.250  0.109 (multiplicity 2)
Pm  0.351  0.750  0.554 (multiplicity 2)
Nd  0.090  0.250  0.391 (multiplicity 2)
Nd  0.350  0.750  0.945 (multiplicity 2)
Nd  0.394  0.750  0.251 (multiplicity 2)
Sm  0.190  0.250  0.749 (multiplicity 2)

Properties
The calculation puts the formation energy at 0.057 eV per atom. As for the spin magnetization: 0.002 μB per cell. Its calculated volume is 420 Å³/cell. For the density of states at the Fermi level, the calculation gives 18.79 states/eV/cell.

8.
Density functional theory data (PBE-GGA) for a relaxed structure of Tm4Co3Cu.

a = 3.914 Å, b = 3.946 Å, c = 10.128 Å
α = 90.00°, β = 90.00°, γ = 90.00°
Space group Pmm2 (No. 25)
Inequivalent atoms, fractional coordinates:
Tm  0.000  0.000  0.000 (multiplicity 1)
Tm  0.000  0.500  0.282 (multiplicity 1)
Tm  0.500  0.000  0.490 (multiplicity 1)
Tm  0.500  0.500  0.780 (multiplicity 1)
Co  0.000  0.500  0.567 (multiplicity 1)
Co  0.500  0.000  0.195 (multiplicity 1)
Co  0.500  0.500  0.078 (multiplicity 1)
Cu  0.000  0.000  0.706 (multiplicity 1)

Properties
The calculation puts the formation energy at -0.250 eV per atom. As for the spin magnetization: 1.005 μB per cell. Its calculated volume is 156 Å³/cell. For the density of states at the Fermi level, the calculation gives 8.39 states/eV/cell.

9.
Density functional theory data (PBE-GGA) for a relaxed structure of Tb3Cu2Sn4.

a = 11.418 Å, b = 4.467 Å, c = 8.654 Å
α = 90.00°, β = 105.80°, γ = 90.00°
Space group C2/m (No. 12)
Inequivalent atoms, fractional coordinates:
Tb  0.000  0.000  0.000 (multiplicity 2)
Tb  0.129  0.500  0.691 (multiplicity 4)
Cu  0.204  0.500  0.392 (multiplicity 4)
Sn  0.078  0.000  0.383 (multiplicity 4)
Sn  0.203  0.500  0.084 (multiplicity 4)

Properties
The calculation puts the formation energy at -0.568 eV per atom. As for the spin magnetization: 0.000 μB per cell. Its calculated volume is 425 Å³/cell. For the density of states at the Fermi level, the calculation gives 4.72 states/eV/cell.

10.
Density functional theory data (PBE-GGA) for a relaxed structure of AlPtNO2.

a = 4.099 Å, b = 4.099 Å, c = 3.750 Å
α = 90.00°, β = 90.00°, γ = 90.00°
Space group P4/mmm (No. 123)
Inequivalent atoms, fractional coordinates:
Al  0.000  0.000  0.000 (multiplicity 1)
Pt  0.500  0.500  0.500 (multiplicity 1)
N  0.500  0.500  0.000 (multiplicity 1)
O  0.000  0.500  0.500 (multiplicity 2)

Properties
As for the spin magnetization: 0.000 μB per cell. Its calculated volume is 63 Å³/cell. The value obtained for the formation energy without anion corrections is 173.5 kJ/mol of formula units. For the density of states at the Fermi level, the calculation gives 1.67 states/eV/cell.

11.
Density functional theory data (PBE-GGA) for a relaxed structure of LaSiI2N.

a = 6.067 Å, b = 6.067 Å, c = 3.508 Å
α = 90.00°, β = 90.00°, γ = 90.00°
Space group P4/mmm (No. 123)
Inequivalent atoms, fractional coordinates:
La  0.000  0.000  0.000 (multiplicity 1)
Si  0.500  0.500  0.500 (multiplicity 1)
I  0.000  0.500  0.500 (multiplicity 2)
N  0.500  0.500  0.000 (multiplicity 1)

Properties
As for the spin magnetization: 0.000 μB per cell. Its calculated volume is 129 Å³/cell. The value obtained for the formation energy without anion corrections is -93.9 kJ/mol of formula units. For the density of states at the Fermi level, the calculation gives 2.93 states/eV/cell.

12.
Density functional theory data (PBE-GGA) for a relaxed structure of Tm3Ni8Sb.

a = 5.0147 Å, b = 5.0147 Å, c = 24.4497 Å
α = 90.00°, β = 90.00°, γ = 120.00°
Space group R3m (No. 160, hexagonal axes)
Inequivalent atoms, fractional coordinates:
Tm  0.0000  0.0000  0.0000 (multiplicity 3)
Tm  0.0000  0.0000  0.1276 (multiplicity 3)
Tm  0.0000  0.0000  0.6192 (multiplicity 3)
Ni  0.0000  0.0000  0.3127 (multiplicity 3)
Ni  0.0000  0.0000  0.8126 (multiplicity 3)
Ni  0.0011  0.5006  0.5632 (multiplicity 9)
Ni  0.1677  0.3353  0.3947 (multiplicity 9)
Sb  0.0000  0.0000  0.4937 (multiplicity 3)

Properties
As for the spin magnetization: 0.000 μB per cell. Its calculated volume is 532 Å³/cell. The value obtained for the formation energy without anion corrections is -510.5 kJ/mol of formula units. For the density of states at the Fermi level, the calculation gives 33.44 states/eV/cell.

13.
Density functional theory data (PBE-GGA) for a relaxed structure of AcPd2I.

a = 4.7770 Å, b = 4.7770 Å, c = 15.2938 Å
α = 90.00°, β = 90.00°, γ = 120.00°
Space group R-3m (No. 166, hexagonal axes)
Inequivalent atoms, fractional coordinates:
Ac  0.0000  0.0000  0.0000 (multiplicity 3)
Pd  0.0000  0.0000  0.2214 (multiplicity 6)
I  0.0000  0.0000  0.5000 (multiplicity 3)

Properties
As for the spin magnetization: 0.000 μB per cell. Its calculated volume is 302 Å³/cell. The value obtained for the formation energy without anion corrections is -172.6 kJ/mol of formula units. For the density of states at the Fermi level, the calculation gives 8.05 states/eV/cell.

14.
Density functional theory data (PBE-GGA) for a relaxed structure of AcLa2SmY5.

a = 8.848 Å, b = 8.848 Å, c = 16.026 Å
α = 90.00°, β = 90.00°, γ = 90.00°
Space group I4/mcm (No. 140)
Inequivalent atoms, fractional coordinates:
Ac  0.000  0.000  0.250 (multiplicity 4)
La  0.117  0.383  0.000 (multiplicity 8)
Sm  0.000  0.500  0.250 (multiplicity 4)
Y  0.000  0.000  0.000 (multiplicity 4)
Y  0.211  0.289  0.364 (multiplicity 16)

Properties
The calculation puts the formation energy at 0.229 eV per atom. As for the spin magnetization: 0.001 μB per cell. Its calculated volume is 1255 Å³/cell. For the density of states at the Fermi level, the calculation gives 42.76 states/eV/cell.

15.
Density functional theory data (PBE-GGA) for a relaxed structure of K2PW.

a = 7.096 Å, b = 4.095 Å, c = 9.958 Å
α = 90.00°, β = 102.44°, γ = 90.00°
Space group Cm (No. 8)
Inequivalent atoms, fractional coordinates:
K  0.000  0.000  0.000 (multiplicity 2)
K  0.167  0.000  0.552 (multiplicity 2)
P  0.418  0.000  0.276 (multiplicity 2)
W  0.251  0.500  0.276 (multiplicity 2)

Properties
The calculation puts the formation energy at 0.360 eV per atom. As for the spin magnetization: 1.748 μB per cell. Its calculated volume is 283 Å³/cell. For the density of states at the Fermi level, the calculation gives 7.43 states/eV/cell.

16.
Density functional theory data (PBE-GGA) for a relaxed structure of CaAc3Pr2S6.

a = 7.269 Å, b = 12.596 Å, c = 7.260 Å
α = 90.00°, β = 109.40°, γ = 90.00°
Space group C2/m (No. 12)
Inequivalent atoms, fractional coordinates:
Ca  0.000  0.000  0.000 (multiplicity 2)
Ac  0.000  0.168  0.500 (multiplicity 4)
Ac  0.000  0.500  0.500 (multiplicity 2)
Pr  0.000  0.333  0.000 (multiplicity 4)
S  0.241  0.163  0.234 (multiplicity 8)
S  0.247  0.000  0.765 (multiplicity 4)

Properties
As for the spin magnetization: 0.000 μB per cell. Its calculated volume is 627 Å³/cell. The value obtained for the formation energy without anion corrections is -2335.7 kJ/mol of formula units. For the density of states at the Fermi level, the calculation gives 10.88 states/eV/cell.

17.
Density functional theory data (PBE-GGA) for a relaxed structure of La2PaNiN4.

a = 6.192 Å, b = 6.192 Å, c = 6.010 Å
α = 90.00°, β = 90.00°, γ = 90.00°
Space group I-42m (No. 121)
Inequivalent atoms, fractional coordinates:
La  0.000  0.500  0.000 (multiplicity 4)
Pa  0.000  0.000  0.000 (multiplicity 2)
Ni  0.000  0.000  0.500 (multiplicity 2)
N  0.175  0.175  0.274 (multiplicity 8)

Properties
As for the spin magnetization: 2.529 μB per cell. Its calculated volume is 230 Å³/cell. The value obtained for the formation energy without anion corrections is -489.6 kJ/mol of formula units. For the density of states at the Fermi level, the calculation gives 10.93 states/eV/cell.

18.
Density functional theory data (PBE-GGA) for a relaxed structure of La8Bi3Te4As.

a = 9.2270 Å, b = 9.2270 Å, c = 22.5107 Å
α = 90.00°, β = 90.00°, γ = 120.00°
Space group R-3m (No. 166, hexagonal axes)
Inequivalent atoms, fractional coordinates:
La  0.0000  0.0000  0.2501 (multiplicity 6)
La  0.0141  0.5070  0.2465 (multiplicity 18)
Bi  0.0000  0.5000  0.5000 (multiplicity 9)
Te  0.0000  0.0000  0.0000 (multiplicity 3)
Te  0.0000  0.5000  0.0000 (multiplicity 9)
As  0.0000  0.0000  0.5000 (multiplicity 3)

Properties
As for the spin magnetization: 0.001 μB per cell. Its calculated volume is 1660 Å³/cell. The value obtained for the formation energy without anion corrections is -2172.3 kJ/mol of formula units. For the density of states at the Fermi level, the calculation gives 24.29 states/eV/cell.

19.
Density functional theory data (PBE-GGA) for a relaxed structure of InBSbI2.

a = 5.816 Å, b = 5.816 Å, c = 4.525 Å
α = 90.00°, β = 90.00°, γ = 90.00°
Space group P4/mmm (No. 123)
Inequivalent atoms, fractional coordinates:
In  0.000  0.000  0.000 (multiplicity 1)
B  0.500  0.500  0.500 (multiplicity 1)
Sb  0.500  0.500  0.000 (multiplicity 1)
I  0.000  0.500  0.500 (multiplicity 2)

Properties
As for the spin magnetization: 0.000 μB per cell. Its calculated volume is 153 Å³/cell. The value obtained for the formation energy without anion corrections is 278.2 kJ/mol of formula units. For the density of states at the Fermi level, the calculation gives 2.76 states/eV/cell.

20.
Density functional theory data (PBE-GGA) for a relaxed structure of HfPaAsN2.

a = 3.786 Å, b = 3.786 Å, c = 11.640 Å
α = 90.00°, β = 90.00°, γ = 90.00°
Space group I4mm (No. 107)
Inequivalent atoms, fractional coordinates:
Hf  0.000  0.000  0.000 (multiplicity 2)
Pa  0.000  0.000  0.687 (multiplicity 2)
As  0.000  0.000  0.342 (multiplicity 2)
N  0.000  0.500  0.087 (multiplicity 4)

Properties
As for the spin magnetization: 0.000 μB per cell. Its calculated volume is 167 Å³/cell. The value obtained for the formation energy without anion corrections is -699.1 kJ/mol of formula units.